# Na3NiBSO7 PBE with a Hubbard U optimized geometry
data_Na3NiBSO7
_chemical_formula_sum 'Na6 Ni2 B2 S2 O14'
_space_group_name_H-M_alt 'P 1 21/m 1'
_space_group_IT_number 11
_space_group_name_Hall '-P 2yb'
_cell_length_a 5.271
_cell_length_b 6.749
_cell_length_c 8.970
_cell_angle_alpha 90.00
_cell_angle_beta 91.52
_cell_angle_gamma 90.00
loop_
_atom_site_label
_atom_site_fract_x
_atom_site_fract_y
_atom_site_fract_z
Na1 0.240 0.007 0.259
Na2 0.251 0.250 0.563
Ni1 0.233 0.750 0.836
B1 0.269 0.750 0.567
S1 0.282 0.250 0.920
O1 0.036 0.750 0.639
O2 0.139 0.250 0.061
O3 0.215 0.073 0.827
O4 0.293 0.750 0.416
O5 0.439 0.750 0.043
O6 0.478 0.750 0.668
# mass density	2.9	g cm⁻³
# calculated total energy	-0.4240	Ry per atom
# magnetization	4.00	μB per cell